[1]
The following is a PBE calculation of crystalline HoTh2Fe9 at its relaxed geometry, from Alexandria. Values from VASP.

Summary:
DOS at the Fermi energy ... 0.89 states/eV per atom
Size of the total moment ... 1.480 μB per atom
Energy relative to the elements ... -0.068 eV/atom

```
&SYSTEM
  ibrav = 0, nat = 12, ntyp = 3
/
ATOMIC_SPECIES
Fe 55.84 Fe.upf
Th 232.04 Th.upf
Ho 164.93 Ho.upf
ATOMIC_POSITIONS angstrom
Fe 7.683 4.436 8.237
Fe 5.122 4.428 1.986
Fe 3.848 2.222 1.986
Th 7.683 4.436 3.473
Fe 2.561 1.479 0.014
Fe 5.122 2.957 4.126
Th 2.561 1.479 4.778
Fe 3.848 3.693 6.265
Ho 0.000 0.000 0.000
Fe 5.122 1.486 6.265
Fe 6.396 3.693 6.265
Fe 6.396 2.222 1.986
CELL_PARAMETERS angstrom
5.122 0.000 0.000
2.561 4.436 0.000
2.561 1.479 8.251
```

***

[2]
The following is a PBE calculation of crystalline BeAl2Ni at its relaxed geometry, from Alexandria. Values from VASP.

Summary:
DOS at the Fermi energy ... 0.39 states/eV per atom
Size of the total moment ... 0.000 μB per atom
Energy relative to the elements ... -0.049 eV/atom

```
&SYSTEM
  ibrav = 0, nat = 4, ntyp = 3
/
ATOMIC_SPECIES
Ni 58.69 Ni.upf
Al 26.98 Al.upf
Be 9.01 Be.upf
ATOMIC_POSITIONS angstrom
Ni 2.053 1.185 0.838
Al 0.000 0.000 0.000
Al 6.159 3.556 2.515
Be 4.106 2.371 1.676
CELL_PARAMETERS angstrom
4.106 0.000 0.000
2.053 3.556 0.000
2.053 1.185 3.353
```